Record 1
Here is crystalline YCd2Sn2 at its relaxed geometry from the Alexandria database. Energies are from PBE.

POSCAR file:
```
YCd2Sn2
1.0
8.287 0.000 0.000
0.000 8.287 0.000
0.000 0.000 3.807
Y Sn Cd
2 4 4
Cartesian
0.000 0.000 0.000
4.143 4.143 0.000
2.976 7.119 0.000
7.119 5.311 0.000
5.311 1.168 0.000
1.168 2.976 0.000
1.308 5.451 1.904
5.451 6.979 1.904
6.979 2.836 1.904
2.836 1.308 1.904
```

Calculated values
distance to the lowest polymorph of the same formula	0.227	eV per atom
V	130.7	Å³/f.u.
E_form	-139	meV/atom
space group	P4/mbm (127)


Record 2
Here is crystalline YCd2Sn at its relaxed geometry from the Alexandria database. Energies are from PBE.

POSCAR file:
```
YCd2Sn
1.0
-3.386 3.184 -1.334
-1.070 -2.596 -3.481
-3.008 -2.142 2.523
Y Sn Cd
1 1 2
Cartesian
-1.693 1.592 -0.667
-3.732 -0.777 -1.146
-1.504 -1.071 1.261
-0.535 -1.298 -1.740
```

Calculated values
V	96.7	Å³/f.u.
E_form	-435	meV/atom
space group	P4/mmm (123)


Record 3
Here is crystalline YCd2Sn2 at its relaxed geometry from the Alexandria database. Energies are from PBE.

POSCAR file:
```
YCd2Sn2
1.0
4.825 0.000 0.000
0.000 4.825 0.000
2.413 2.413 5.865
Y Sn Cd
1 2 2
Cartesian
0.000 0.000 0.000
4.825 2.413 2.933
2.413 4.825 2.933
2.413 2.413 1.309
4.825 4.825 4.557
```

Calculated values
distance to the lowest polymorph of the same formula	0.312	eV per atom
V	136.6	Å³/f.u.
E_form	-54	meV/atom
space group	I4/mmm (139)


Record 4
Here is crystalline YCdSn3 at its relaxed geometry from the Alexandria database. Energies are from PBE.

POSCAR file:
```
YCdSn3
1.0
5.451 0.000 0.000
0.000 5.451 0.000
0.000 0.000 5.451
Y Sn Cd
1 3 1
Cartesian
2.726 2.726 2.726
0.000 2.726 0.000
0.000 0.000 2.726
2.726 0.000 0.000
0.000 0.000 0.000
```

Calculated values
distance to the lowest polymorph of the same formula	0.685	eV per atom
V	162.0	Å³/f.u.
E_form	357	meV/atom
space group	Pm-3m (221)